Below is Dy3Ga2Au after structural relaxation, with properties calculated at the GGA-PBE level.

Density ... 9.90 g cm⁻³
Total magnetization ... 0.000 μB/atom
ΔE_f ... -0.66 eV/atom
DFT total energy ... -27.09 eV per cell

Geometry as POSCAR:
```
Dy3Ga2Au
1.0
-1.0728 0.6354 -3.3432
-0.9459 -3.4230 -0.3471
-9.9471 2.3792 3.6443
Ga Au Dy
2 1 3
Direct
0.5000 0.5000 0.8334
0.5000 0.5000 0.1666
0.5000 0.5000 0.5000
0.0000 0.0000 0.3334
0.0000 0.0000 0.0000
0.0000 0.0000 0.6666
```